Computed, not measured: crystalline RbVF3 at its relaxed geometry at the GGA+U level of DFT.

Cell: 3.7837 3.7837 14.7786 Å, 90.00 90.00 120.00°
Each line ends with the local moment (μB).
Sites, in units of the cell vectors:
F 0.0000 0.0000 0.2500  -0.01
F 0.3333 0.6667 0.6130  0.02
F 0.3333 0.6667 0.8870  0.02
F 0.0000 0.0000 0.7500  -0.01
F 0.6667 0.3333 0.3870  0.02
F 0.6667 0.3333 0.1130  0.02
V 0.6667 0.3333 0.2500  2.69
V 0.3333 0.6667 0.7500  2.69
Rb 0.0000 0.0000 0.0000  0.00
Rb 0.0000 0.0000 0.5000  0.00

Calculated values
Crystal system = hexagonal
Spin magnetization = 0.6000 μB per atom
DFT total energy = -5.2297 eV/atom
Density = 3.5 g cm⁻³